Entry from Alexandria: a relaxed structure of AcPmGa (PBE).

Structure (CIF):
```
data_AcPmGa
_chemical_formula_sum 'Ac6 Pm6 Ga6'
_space_group_name_H-M_alt 'R -3 m'
_space_group_IT_number 166
_space_group_name_Hall '-R 3 2"'
_cell_length_a 5.2613
_cell_length_b 5.2613
_cell_length_c 25.6807
_cell_angle_alpha 90.00
_cell_angle_beta 90.00
_cell_angle_gamma 120.00
loop_
_atom_site_label
_atom_site_fract_x
_atom_site_fract_y
_atom_site_fract_z
Ac1 0.0000 0.0000 0.1231
Pm1 0.0000 0.0000 0.3736
Ga1 0.0000 0.0000 0.2551
```

Values from the calculation:
E: -75.104 eV/cell
Total moment: 0.0 μB per formula unit